No. 1
# K2CaRu | the Alexandria database | PBE | relaxed
data_K2CaRu
_symmetry_space_group_name_H-M 'P 1'
_symmetry_Int_Tables_number 1
_symmetry_space_group_name_Hall 'P 1'
_cell_length_a 3.376
_cell_length_b 3.376
_cell_length_c 12.383
_cell_angle_alpha 90.00
_cell_angle_beta 90.00
_cell_angle_gamma 90.00
loop_
_atom_site_label
_atom_site_type_symbol
_atom_site_fract_x
_atom_site_fract_y
_atom_site_fract_z
K1 K 0.000 0.000 0.195
K2 K 0.000 0.000 0.805
Ca1 Ca 0.500 0.500 0.500
Ru1 Ru 0.500 0.500 0.000
# Energy relative to the lowest polymorph listed for this composition in meV/atom: 426.0
# Uncorrected energy in eV/atom: -2.364
# Formation energy from the elements in eV/atom: 1.004

---

No. 2
# KCaRu2 | the Alexandria database | PBE | relaxed
data_KCaRu2
_symmetry_space_group_name_H-M 'P 1'
_symmetry_Int_Tables_number 1
_symmetry_space_group_name_Hall 'P 1'
_cell_length_a 5.872
_cell_length_b 5.872
_cell_length_c 5.872
_cell_angle_alpha 148.70
_cell_angle_beta 131.59
_cell_angle_gamma 58.78
loop_
_atom_site_label
_atom_site_type_symbol
_atom_site_fract_x
_atom_site_fract_y
_atom_site_fract_z
K1 K 0.000 0.000 0.000
Ca1 Ca 0.500 0.500 0.000
Ru1 Ru 0.259 0.759 0.500
Ru2 Ru 0.741 0.241 0.500
# Energy relative to the lowest polymorph listed for this composition in meV/atom: 668.1
# Uncorrected energy in eV/atom: -4.371
# Formation energy from the elements in eV/atom: 1.042

---

Please write out number 1 again, unchanged.
# K2CaRu | the Alexandria database | PBE | relaxed
data_K2CaRu
_symmetry_space_group_name_H-M 'P 1'
_symmetry_Int_Tables_number 1
_symmetry_space_group_name_Hall 'P 1'
_cell_length_a 3.376
_cell_length_b 3.376
_cell_length_c 12.383
_cell_angle_alpha 90.00
_cell_angle_beta 90.00
_cell_angle_gamma 90.00
loop_
_atom_site_label
_atom_site_type_symbol
_atom_site_fract_x
_atom_site_fract_y
_atom_site_fract_z
K1 K 0.000 0.000 0.195
K2 K 0.000 0.000 0.805
Ca1 Ca 0.500 0.500 0.500
Ru1 Ru 0.500 0.500 0.000
# Energy relative to the lowest polymorph listed for this composition in meV/atom: 426.0
# Uncorrected energy in eV/atom: -2.364
# Formation energy from the elements in eV/atom: 1.004